# PmDyCdIn PBE optimized geometry
data_PmDyCdIn
_cell_length_a 7.594
_cell_length_b 7.594
_cell_length_c 7.594
_cell_angle_alpha 90.00
_cell_angle_beta 90.00
_cell_angle_gamma 90.00
_space_group_name_H-M_alt 'F -4 3 m'
_space_group_IT_number 216
_space_group_name_Hall 'F -4 2 3'
loop_
_atom_site_label
_atom_site_type_symbol
_atom_site_fract_x
_atom_site_fract_y
_atom_site_fract_z
Pm1 Pm 0.000 0.000 0.000
Dy1 Dy 0.000 0.000 0.500
Cd1 Cd 0.250 0.250 0.750
In1 In 0.250 0.250 0.250
# Density of states at the Fermi level = 1.03 states/eV/atom
# Formation energy = -0.412 eV per atom
# VASP energy = -3.663 eV per atom